1.
First-principles (PBE-GGA) data for crystalline LiNbCuIr at its relaxed geometry, as listed in the Alexandria database.

## Properties
Magnetization: 0.0 μB/f.u.
Energy of formation: -0.164 eV/atom
Space group: F-43m
E: -6.399 eV/atom
ρ: 10.2 g/cm3

abc: 4.346 4.346 4.346
angles: 60.00 60.00 60.00
Sites, in units of the cell vectors:
Nb  0.000  0.000  0.000
Ir  0.750  0.750  0.750
Cu  0.250  0.250  0.250
Li  0.500  0.500  0.500


2.
First-principles (PBE-GGA) data for crystalline LiCuIrO4 at its relaxed geometry, as listed in the Alexandria database.

## Properties
Magnetization: 0.0 μB/f.u.
Formation energy from raw total energies: -974 meV/atom
Space group: Imma
E: -5.931 eV/atom
ρ: 6.8 g/cm3

abc: 5.663 6.216 6.171
angles: 119.76 90.00 117.10
Sites, in units of the cell vectors:
Li  0.843  0.686  0.093
Li  0.157  0.314  0.907
Cu  0.500  0.500  0.500
Cu  0.000  0.500  0.500
Ir  0.500  0.000  0.500
Ir  0.500  0.000  0.000
O  0.715  0.430  0.672
O  0.251  0.942  0.221
O  0.690  0.942  0.221
O  0.715  0.430  0.258
O  0.285  0.570  0.742
O  0.749  0.058  0.779
O  0.310  0.058  0.779
O  0.285  0.570  0.328